No. 1
Computed, not measured: Tl2CdIn2Bi after structural relaxation at the PBE level of DFT.

Cell and atoms, written as POSCAR:
```
Tl2CdIn2Bi
1.0
5.436 0.000 0.000
0.000 9.542 0.000
0.000 0.000 6.913
Tl Cd In Bi
4 2 4 2
direct
0.000 0.037 0.000 Tl
0.000 0.963 0.500 Tl
0.500 0.161 0.345 Tl
0.500 0.839 0.845 Tl
0.500 0.489 0.570 Cd
0.500 0.511 0.070 Cd
0.000 0.357 0.156 In
0.000 0.643 0.656 In
0.500 0.220 0.869 In
0.500 0.780 0.369 In
0.000 0.309 0.621 Bi
0.000 0.691 0.121 Bi
```

Output
- Space group: Pmc2_1 (26)
- DFT formation energy: 19.3 meV/atom

***

No. 2
Computed, not measured: Rb5PaSe4 after structural relaxation at the PBE level of DFT.

Cell and atoms, written as POSCAR:
```
Rb5PaSe4
1.0
10.210 -2.264 0.000
10.210 2.264 0.000
-1.645 0.000 9.407
Rb Pa Se
5 1 4
direct
0.000 0.000 0.000 Rb
0.324 0.324 0.659 Rb
0.340 0.340 0.178 Rb
0.660 0.660 0.822 Rb
0.676 0.676 0.341 Rb
0.000 0.000 0.500 Pa
0.139 0.139 0.566 Se
0.494 0.494 0.701 Se
0.506 0.506 0.299 Se
0.861 0.861 0.434 Se
```

Output
- Space group: C2/m (12)
- Uncorrected formation energy: -1078 meV/atom

***

No. 3
Computed, not measured: MgTcP2 after structural relaxation at the PBE level of DFT.

Cell and atoms, written as POSCAR:
```
MgTcP2
1.0
-1.821 1.821 4.450
1.821 -1.821 4.450
1.821 1.821 -4.450
Mg Tc P
1 1 2
direct
0.000 0.000 0.000 Mg
0.750 0.250 0.500 Tc
0.250 0.750 0.500 P
0.500 0.500 0.000 P
```

Output
- Space group: I-4m2 (119)
- DFT formation energy: 104.9 meV/atom

***

No. 4
Computed, not measured: SmHo4Tl2 after structural relaxation at the PBE level of DFT.

Cell and atoms, written as POSCAR:
```
SmHo4Tl2
1.0
8.294 -2.693 0.000
8.294 2.693 0.000
-2.795 0.000 9.480
Sm Ho Tl
2 8 4
direct
0.099 0.099 0.073 Sm
0.901 0.901 0.927 Sm
0.034 0.034 0.687 Ho
0.258 0.258 0.918 Ho
0.296 0.296 0.306 Ho
0.360 0.360 0.673 Ho
0.640 0.640 0.327 Ho
0.704 0.704 0.694 Ho
0.742 0.742 0.082 Ho
0.966 0.966 0.313 Ho
0.158 0.158 0.502 Tl
0.448 0.448 0.132 Tl
0.552 0.552 0.868 Tl
0.842 0.842 0.498 Tl
```

Output
- Space group: C2/m (12)
- DFT formation energy: -114.4 meV/atom

***

no.,Fermi-level density of states (states/eV/f.u.)
1,2.0
2,6.2
3,3.2
4,7.5